# Pr2NpCrN5

A relaxed Pr2NpCrN5 crystal (PBE-GGA, Alexandria via LeMat-Bulk).

Unit cell a=3.484 b=13.655 c=10.510 alpha=90.00 beta=90.00 gamma=90.00
Space group Cmc2_1 (No. 36)
Asymmetric unit:
1 Pr 0.000 0.107 0.000 x4
2 Pr 0.000 0.140 0.630 x4
3 Np 0.000 0.202 0.329 x4
4 Cr 0.000 0.482 0.771 x4
5 N 0.000 0.036 0.337 x4
6 N 0.000 0.287 0.962 x4
7 N 0.000 0.321 0.705 x4
8 N 0.000 0.366 0.317 x4
9 N 0.000 0.491 0.107 x4

Calculated values
The uncorrected formation energy is -1.0367 eV per atom. The value obtained for the magnetization is 1.2 μB per formula unit.

=====

# RbNaTcPb2

A relaxed RbNaTcPb2 crystal (PBE-GGA, Alexandria via LeMat-Bulk).

Unit cell a=5.601 b=5.601 c=5.503 alpha=90.00 beta=90.00 gamma=90.00
Space group P4/mmm (No. 123)
Asymmetric unit:
1 Rb 0.000 0.000 0.000 x1
2 Na 0.500 0.500 0.500 x1
3 Tc 0.500 0.500 0.000 x1
4 Pb 0.000 0.500 0.500 x2

Calculated values
The value obtained for the magnetization is 3.8 μB per formula unit. For the formation energy, the calculation gives 104.0 kJ/mol of atoms.

=====

# Ce3Pr2HoTe6

A relaxed Ce3Pr2HoTe6 crystal (PBE-GGA, Alexandria via LeMat-Bulk).

Unit cell a=7.733 b=13.405 c=7.795 alpha=90.00 beta=109.31 gamma=90.00
Space group C2/m (No. 12)
Asymmetric unit:
1 Ce 0.000 0.000 0.000 x2
2 Ce 0.000 0.327 0.000 x4
3 Pr 0.000 0.166 0.500 x4
4 Ho 0.000 0.500 0.500 x2
5 Te 0.239 0.500 0.248 x4
6 Te 0.243 0.338 0.745 x8

Calculated values
The uncorrected formation energy is -1.3785 eV per atom. The value obtained for the magnetization is 3.5 μB per formula unit.

=====

# K2NaPdF6

A relaxed K2NaPdF6 crystal (PBE-GGA, Alexandria via LeMat-Bulk).

Unit cell a=8.587 b=8.587 c=8.587 alpha=90.00 beta=90.00 gamma=90.00
Space group Fm-3m (No. 225)
Asymmetric unit:
1 K 0.250 0.250 0.250 x8
2 Na 0.000 0.000 0.000 x4
3 Pd 0.000 0.000 0.500 x4
4 F 0.000 0.000 0.261 x24

Calculated values
The uncorrected formation energy is -2.2376 eV per atom. The value obtained for the magnetization is 1.0 μB per formula unit.

=====

# CoTcBr2

A relaxed CoTcBr2 crystal (PBE-GGA, Alexandria via LeMat-Bulk).

Unit cell a=3.193 b=4.193 c=6.123 alpha=90.00 beta=90.00 gamma=90.00
Space group Pmmm (No. 47)
Asymmetric unit:
1 Co 0.000 0.000 0.000 x1
2 Tc 0.500 0.000 0.500 x1
3 Br 0.000 0.500 0.500 x1
4 Br 0.500 0.500 0.000 x1

Calculated values
The uncorrected formation energy is 0.9258 eV per atom. The value obtained for the magnetization is 5.1 μB per formula unit. The value obtained for the energy above the lowest structure with this stoichiometry is 0.769 eV per atom.

=====

# ThFeCoB2

A relaxed ThFeCoB2 crystal (PBE-GGA, Alexandria via LeMat-Bulk).

Unit cell a=3.657 b=3.657 c=9.575 alpha=90.00 beta=90.00 gamma=90.00
Space group I-4m2 (No. 119)
Asymmetric unit:
1 Th 0.000 0.000 0.000 x2
2 Fe 0.000 0.500 0.750 x2
3 Co 0.000 0.500 0.250 x2
4 B 0.000 0.000 0.339 x4

Calculated values
The value obtained for the magnetization is 0.0 μB per formula unit. For the formation energy, the calculation gives -48.1 kJ/mol of atoms.

=====

# GaCBr3

A relaxed GaCBr3 crystal (PBE-GGA, Alexandria via LeMat-Bulk).

Unit cell a=4.888 b=4.888 c=4.888 alpha=90.00 beta=90.00 gamma=90.00
Space group Pm-3m (No. 221)
Asymmetric unit:
1 Ga 0.000 0.000 0.000 x1
2 C 0.500 0.500 0.500 x1
3 Br 0.000 0.500 0.500 x3

Calculated values
The uncorrected formation energy is 0.7400 eV per atom. The value obtained for the magnetization is 0.0 μB per formula unit. The value obtained for the energy above the lowest structure with this stoichiometry is 0.000 eV per atom.

=====

# RbSiMoPd2

A relaxed RbSiMoPd2 crystal (PBE-GGA, Alexandria via LeMat-Bulk).

Unit cell a=4.658 b=4.658 c=5.748 alpha=90.00 beta=90.00 gamma=90.00
Space group P4/mmm (No. 123)
Asymmetric unit:
1 Rb 0.000 0.000 0.000 x1
2 Si 0.000 0.000 0.500 x1
3 Mo 0.500 0.500 0.000 x1
4 Pd 0.000 0.500 0.500 x2

Calculated values
The uncorrected formation energy is 1.0991 eV per atom. The value obtained for the magnetization is 4.4 μB per formula unit.

=====

# KHgAu

A relaxed KHgAu crystal (PBE-GGA, Alexandria via LeMat-Bulk).

Unit cell a=11.652 b=4.924 c=8.082 alpha=90.00 beta=131.14 gamma=90.00
Space group C2/m (No. 12)
Asymmetric unit:
1 K 0.059 0.000 0.310 x4
2 Hg 0.170 0.500 0.095 x4
3 Au 0.149 0.500 0.702 x4

Calculated values
The value obtained for the magnetization is 0.0 μB per formula unit. For the formation energy, the calculation gives -28.7 kJ/mol of atoms. The value obtained for the energy above the lowest structure with this stoichiometry is 0.000 eV per atom.

=====

# Mg6CdW

A relaxed Mg6CdW crystal (PBE-GGA, Alexandria via LeMat-Bulk).

Unit cell a=4.539 b=7.536 c=9.421 alpha=90.00 beta=90.00 gamma=90.00
Space group Amm2 (No. 38)
Asymmetric unit:
1 Mg 0.000 0.000 0.000 x2
2 Mg 0.000 0.235 0.734 x4
3 Mg 0.500 0.000 0.250 x2
4 Mg 0.500 0.243 0.973 x4
5 Cd 0.500 0.000 0.695 x2
6 W 0.000 0.000 0.471 x2

Calculated values
The value obtained for the magnetization is 0.0 μB per formula unit. For the formation energy, the calculation gives 23.8 kJ/mol of atoms. The value obtained for the energy above the lowest structure with this stoichiometry is 0.000 eV per atom.

=====

# MoRuCl2

A relaxed MoRuCl2 crystal (PBE-GGA, Alexandria via LeMat-Bulk).

Unit cell a=3.034 b=4.243 c=14.321 alpha=90.00 beta=90.00 gamma=90.00
Space group Immm (No. 71)
Asymmetric unit:
1 Mo 0.000 0.000 0.000 x2
2 Ru 0.000 0.000 0.500 x2
3 Cl 0.000 0.500 0.361 x4

Calculated values
The uncorrected formation energy is 0.2213 eV per atom. The value obtained for the magnetization is 0.0 μB per formula unit. The value obtained for the energy above the lowest structure with this stoichiometry is 0.466 eV per atom.

=====

# DyTa2WC4

A relaxed DyTa2WC4 crystal (PBE-GGA, Alexandria via LeMat-Bulk).

Unit cell a=3.216 b=11.433 c=11.388 alpha=90.00 beta=90.00 gamma=90.00
Space group Cmcm (No. 63)
Asymmetric unit:
1 Dy 0.000 0.114 0.250 x4
2 Ta 0.000 0.371 0.033 x8
3 W 0.000 0.153 0.750 x4
4 C 0.000 0.000 0.000 x4
5 C 0.000 0.262 0.613 x8
6 C 0.000 0.454 0.250 x4

Calculated values
The value obtained for the magnetization is 0.0 μB per formula unit. For the formation energy, the calculation gives -24.8 kJ/mol of atoms.

=====

# NbSb2Br

A relaxed NbSb2Br crystal (PBE-GGA, Alexandria via LeMat-Bulk).

Unit cell a=7.222 b=7.222 c=7.222 alpha=90.00 beta=90.00 gamma=90.00
Space group Fm-3m (No. 225)
Asymmetric unit:
1 Nb 0.000 0.000 0.000 x4
2 Sb 0.250 0.250 0.250 x8
3 Br 0.000 0.000 0.500 x4

Calculated values
The uncorrected formation energy is 0.5450 eV per atom. The value obtained for the magnetization is 0.0 μB per formula unit. The value obtained for the energy above the lowest structure with this stoichiometry is 0.093 eV per atom.